(one)
5
Lattice="3.907 0.000 0.000 0.000 3.907 0.000 0.000 0.000 4.922" Properties=species:S:1:pos:R:3 comment="meta-GGA SCAN ZrPtSeN2, PBEsol geometry" m_tot_mub_per_fu=1.124 dos_ef_per_ev_fu=2.81 volume_a3_per_atom=15.02 pbc="T T T"
Zr 0.000 0.000 0.000
Pt 1.953 1.953 2.461
Se 1.953 1.953 0.000
N 0.000 1.953 2.461
N 1.953 0.000 2.461

---

(two)
5
Lattice="3.961 0.000 0.000 0.000 3.961 0.000 0.000 0.000 5.625" Properties=species:S:1:pos:R:3 comment="meta-GGA SCAN ZrPtSeN2, PBEsol geometry" m_tot_mub_per_fu=2.931 dos_ef_per_ev_fu=2.76 volume_a3_per_atom=17.65 pbc="T T T"
Zr 0.000 0.000 0.000
Pt 1.981 1.981 2.812
Se 0.000 0.000 2.812
N 0.000 1.981 0.000
N 1.981 0.000 0.000

---

(two) is the most stable structure shown above.